1.
Here is KTcHg2 after structural relaxation from the Alexandria database. Energies are from PBE.

Cell: 5.7054 5.7054 18.0611 Å, 90.00 90.00 90.00°
With the nearest neighbours (Å) after each atom.
Space group I-42d (No. 122)
Inequivalent atoms, fractional coordinates:
K (0.0000, 0.0000, 0.0000) [4 per cell]  4 Hg 3.58
Tc (0.0000, 0.0000, 0.5000) [4 per cell]  4 Hg 2.71
Hg (0.0817, 0.2500, 0.6250) [8 per cell]  2 Tc 2.71, 2 Hg 3.00

Values from the calculation:
E above lowest polymorph	1.027	eV/f.u.
size of the total moment	2.19	μB per formula unit
mass density	6.1	Mg/m³



2.
Here is LiZrMn2 after structural relaxation from the Alexandria database. Energies are from PBE.

Cell: 3.9114 3.9114 8.2182 Å, 90.00 90.00 90.00°
With the nearest neighbours (Å) after each atom.
Space group I-4m2 (No. 119)
Inequivalent atoms, fractional coordinates:
Li (0.0000, 0.0000, 0.0000) [2 per cell]  8 Mn 2.77-2.84, 4 Zr 2.84
Zr (0.0000, 0.5000, 0.2500) [2 per cell]  8 Mn 2.77-2.84, 4 Li 2.84
Mn (0.0000, 0.0000, 0.5000) [2 per cell]  4 Li 2.77, 4 Zr 2.84, 4 Mn 2.84
Mn (0.0000, 0.5000, 0.7500) [2 per cell]  4 Zr 2.77, 4 Mn 2.84, 4 Li 2.84

Values from the calculation:
calculated total energy	-27.8	eV per formula unit
size of the total moment	5.45	μB per formula unit
mass density	5.5	Mg/m³



3.
Here is CsHf3Ge after structural relaxation from the Alexandria database. Energies are from PBE.

Cell: 5.2234 5.2234 5.2234 Å, 90.00 90.00 90.00°
With the nearest neighbours (Å) after each atom.
Space group Pm-3m (No. 221)
Inequivalent atoms, fractional coordinates:
Cs (0.0000, 0.0000, 0.0000) [1 per cell]  12 Hf 3.69
Hf (0.0000, 0.5000, 0.5000) [3 per cell]  2 Ge 2.61
Ge (0.5000, 0.5000, 0.5000) [1 per cell]  6 Hf 2.61

Values from the calculation:
E above lowest polymorph	0.000	eV/f.u.
size of the total moment	0.00	μB per formula unit
mass density	8.6	Mg/m³



4.
Here is Tl2AgBMo after structural relaxation from the Alexandria database. Energies are from PBE.

Cell: 4.9391 4.9391 4.3060 Å, 90.00 90.00 90.00°
With the nearest neighbours (Å) after each atom.
Space group P4/mmm (No. 123)
Inequivalent atoms, fractional coordinates:
Tl (0.0000, 0.5000, 0.0000) [2 per cell]  2 B 2.47
Ag (0.0000, 0.0000, 0.5000) [1 per cell]  2 B 2.15
B (0.0000, 0.0000, 0.0000) [1 per cell]  2 Ag 2.15
Mo (0.5000, 0.5000, 0.5000) [1 per cell]  8 Tl 3.28, 4 Ag 3.49

Values from the calculation:
calculated total energy	-18.8	eV per formula unit
size of the total moment	3.73	μB per formula unit
mass density	9.9	Mg/m³



5.
Here is AcNd5Er after structural relaxation from the Alexandria database. Energies are from PBE.

Cell: 8.9720 10.1541 11.8291 Å, 90.00 108.92 90.00°
With the nearest neighbours (Å) after each atom.
Space group C2/c (No. 15)
Inequivalent atoms, fractional coordinates:
Ac (0.2500, 0.2500, 0.0000) [4 per cell]  6 Nd 3.53-3.78
Nd (0.0000, 0.0804, 0.7500) [4 per cell]  6 Nd 3.39-3.72, 1 Er 3.45, 2 Ac 3.53
Nd (0.1263, 0.4279, 0.6696) [8 per cell]  4 Nd 3.40-3.73, 2 Er 3.61-3.70, 1 Ac 3.78
Nd (0.1711, 0.1049, 0.5341) [8 per cell]  6 Nd 3.39-3.73, 2 Er 3.50-3.57, 1 Ac 3.72
Er (0.0000, 0.2590, 0.2500) [4 per cell]  9 Nd 3.45-3.70

Values from the calculation:
calculated total energy	-31.9	eV per formula unit
size of the total moment	0.00	μB per formula unit
mass density	7.3	Mg/m³



6.
Here is Ta8Nb2Mo after structural relaxation from the Alexandria database. Energies are from PBE.

Cell: 13.4429 4.7260 7.6039 Å, 90.00 120.90 90.00°
With the nearest neighbours (Å) after each atom.
Space group C2/m (No. 12)
Inequivalent atoms, fractional coordinates:
Ta (0.0485, 0.0000, 0.3650) [4 per cell]  1 Nb 2.73, 2 Mo 2.78, 7 Ta 2.85-2.96
Ta (0.0672, 0.5000, 0.8953) [4 per cell]  1 Mo 2.66, 2 Nb 2.78, 4 Ta 2.79-2.96
Ta (0.1849, 0.5000, 0.4176) [4 per cell]  7 Ta 2.82-3.08, 1 Mo 2.86, 3 Nb 3.06-3.12
Ta (0.1964, 0.0000, 0.8105) [4 per cell]  4 Ta 2.79-2.92, 3 Nb 2.80-3.06
Nb (0.1421, 0.0000, 0.1196) [4 per cell]  4 Ta 2.73-2.80
Mo (0.0000, 0.5000, 0.5000) [2 per cell]  8 Ta 2.66-2.86

Values from the calculation:
E above lowest polymorph	1.246	eV/f.u.
size of the total moment	0.00	μB per formula unit
mass density	13.9	Mg/m³



Repeat the third record exactly.
Here is CsHf3Ge after structural relaxation from the Alexandria database. Energies are from PBE.

Cell: 5.2234 5.2234 5.2234 Å, 90.00 90.00 90.00°
With the nearest neighbours (Å) after each atom.
Space group Pm-3m (No. 221)
Inequivalent atoms, fractional coordinates:
Cs (0.0000, 0.0000, 0.0000) [1 per cell]  12 Hf 3.69
Hf (0.0000, 0.5000, 0.5000) [3 per cell]  2 Ge 2.61
Ge (0.5000, 0.5000, 0.5000) [1 per cell]  6 Hf 2.61

Values from the calculation:
E above lowest polymorph	0.000	eV/f.u.
size of the total moment	0.00	μB per formula unit
mass density	8.6	Mg/m³